First-principles (PBE) data for an optimized crystal structure of EuCdCuPt, as listed in the Alexandria database.

The total energy is -5.6714 eV per atom. The calculated volume is 327.2 Å³ per cell. Its energy relative to the elements is -0.340 eV/atom. The total magnetization is 27.44 Bohr magnetons per cell. As for the crystal system: cubic.

The structure belongs to space group F-43m (No. 216); the cell edges are 6.8911, 6.8911 and 6.8911 Å and the angles 90.00°, 90.00° and 90.00°. The distinct sites, in fractional coordinates, are Eu at (0.0000, 0.0000, 0.0000), Cd at (0.0000, 0.0000, 0.5000), Cu at (0.2500, 0.2500, 0.2500) and Pt at (0.2500, 0.2500, 0.7500).